# 1
First-principles (GGA-PBE) data for a relaxed Sc2Ga5Tc crystal, as listed in the Alexandria database.

```
Sc2Ga5Tc
1.0
5.574 0.320 0.457
-2.465 5.009 -0.457
-2.465 -2.133 4.555
Ga Sc Tc
5 2 1
Cartesian
1.658 1.073 1.529
-2.583 -0.025 3.221
-1.121 0.654 0.932
-1.250 2.260 3.221
-2.583 3.038 1.072
0.211 -0.123 3.622
0.211 3.448 1.116
-4.216 2.459 3.504
```

- volume (Å³/f.u.) = 134
- formation enthalpy at 0 K (eV per atom) = -0.40
- DOS(E_F) (states/eV/f.u.) = 4.79
- SG = No. 107

# 2
First-principles (GGA-PBE) data for a relaxed ScGa2Tc2 crystal, as listed in the Alexandria database.

```
ScGa2Tc2
1.0
3.160 0.000 -0.600
-0.006 4.391 -0.030
0.649 0.349 12.028
Tc Sc Ga
4 2 4
Cartesian
0.243 1.249 1.279
3.560 3.491 10.119
2.078 1.307 10.934
1.725 3.432 0.463
2.253 1.235 3.244
1.549 3.505 8.153
1.018 3.463 5.355
0.530 3.437 2.791
2.785 1.277 6.043
3.272 1.303 8.607
```

- volume (Å³/f.u.) = 84
- formation enthalpy at 0 K (eV per atom) = -0.25
- DOS(E_F) (states/eV/f.u.) = 3.52
- SG = No. 12

# 3
First-principles (GGA-PBE) data for a relaxed Sc8GaTc2 crystal, as listed in the Alexandria database.

```
Sc8GaTc2
1.0
4.678 0.057 -1.399
-0.834 5.880 -2.545
-0.054 0.050 8.338
Sc Ga Tc
8 1 2
Cartesian
4.494 0.188 3.411
2.704 5.582 -2.350
1.109 2.085 0.696
1.820 4.294 3.164
0.139 3.235 6.010
0.875 5.075 0.036
2.710 1.621 6.024
3.949 2.680 1.697
-0.217 5.735 4.931
1.928 1.736 3.425
3.225 3.693 -0.682
```

- volume (Å³/f.u.) = 230
- formation enthalpy at 0 K (eV per atom) = -0.24
- DOS(E_F) (states/eV/f.u.) = 9.23
- SG = No. 44

# 4
First-principles (GGA-PBE) data for a relaxed Sc3Ga3Tc crystal, as listed in the Alexandria database.

```
Sc3Ga3Tc
1.0
3.483 0.000 0.525
1.693 5.247 0.582
-0.399 0.370 14.474
Sc Ga Tc
6 6 2
Cartesian
2.645 3.554 6.085
1.488 2.033 13.766
3.544 4.256 11.942
3.289 3.584 1.814
2.132 2.064 9.495
1.233 1.361 3.638
3.321 0.754 1.601
1.456 4.864 13.979
4.712 4.303 4.189
4.061 4.179 8.513
0.716 1.438 7.067
0.065 1.315 11.391
2.693 0.533 5.767
2.084 5.084 9.814
```

- volume (Å³/f.u.) = 133
- formation enthalpy at 0 K (eV per atom) = -0.48
- DOS(E_F) (states/eV/f.u.) = 4.88
- SG = No. 12